# Nd6MgPb

Nd6MgPb after structural relaxation (PBE, Alexandria via LeMat-Bulk).

abc: 5.034 5.034 10.001
angles: 90.00 90.00 90.00
Space group P4/mmm (No. 123)
Asymmetric unit:
Nd: 0.000 0.000 0.000 (multiplicity 1)
Nd: 0.000 0.000 0.500 (multiplicity 1)
Nd: 0.000 0.500 0.249 (multiplicity 4)
Mg: 0.500 0.500 0.500 (multiplicity 1)
Pb: 0.500 0.500 0.000 (multiplicity 1)

Properties
Formation energy   -0.167 eV/atom

=====

# CeCdCo

CeCdCo after structural relaxation (PBE, Alexandria via LeMat-Bulk).

abc: 11.415 4.764 4.738
angles: 90.00 106.67 90.00
Space group C2/m (No. 12)
Asymmetric unit:
Ce: 0.136 0.000 0.332 (multiplicity 4)
Cd: 0.082 0.500 0.809 (multiplicity 4)
Co: 0.193 0.000 0.814 (multiplicity 4)

Properties
Formation energy   -0.256 eV/atom

=====

# Ce2HoAgSe5

Ce2HoAgSe5 after structural relaxation (PBE, Alexandria via LeMat-Bulk).

abc: 4.138 17.497 12.523
angles: 90.00 90.00 90.00
Space group Cmc2_1 (No. 36)
Asymmetric unit:
Ce: 0.000 0.111 0.000 (multiplicity 4)
Ce: 0.000 0.125 0.622 (multiplicity 4)
Ho: 0.000 0.196 0.325 (multiplicity 4)
Ag: 0.000 0.444 0.772 (multiplicity 4)
Se: 0.000 0.045 0.393 (multiplicity 4)
Se: 0.000 0.288 0.983 (multiplicity 4)
Se: 0.000 0.305 0.662 (multiplicity 4)
Se: 0.000 0.359 0.316 (multiplicity 4)
Se: 0.000 0.497 0.085 (multiplicity 4)

Properties
Formation energy without anion corrections   -1511 meV/atom

=====

# Ca2UTl3Se6

Ca2UTl3Se6 after structural relaxation (PBE, Alexandria via LeMat-Bulk).

abc: 7.351 12.698 8.064
angles: 90.00 107.47 90.00
Space group C2/m (No. 12)
Asymmetric unit:
Ca: 0.000 0.166 0.000 (multiplicity 4)
U: 0.000 0.500 0.000 (multiplicity 2)
Tl: 0.000 0.000 0.500 (multiplicity 2)
Tl: 0.000 0.331 0.500 (multiplicity 4)
Se: 0.224 0.345 0.204 (multiplicity 8)
Se: 0.241 0.500 0.790 (multiplicity 4)

Properties
Formation energy without anion corrections   -1185 meV/atom

=====

# HfMg3Hg4

HfMg3Hg4 after structural relaxation (PBE, Alexandria via LeMat-Bulk).

abc: 3.251 3.251 15.921
angles: 90.00 90.00 90.00
Space group P4/mmm (No. 123)
Asymmetric unit:
Hf: 0.000 0.000 0.000 (multiplicity 1)
Mg: 0.000 0.000 0.251 (multiplicity 2)
Mg: 0.000 0.000 0.500 (multiplicity 1)
Hg: 0.500 0.500 0.128 (multiplicity 2)
Hg: 0.500 0.500 0.376 (multiplicity 2)

Properties
Formation energy   -0.163 eV/atom

=====

# Hg2Se2I

Hg2Se2I after structural relaxation (PBE, Alexandria via LeMat-Bulk).

abc: 8.506 8.506 4.284
angles: 90.00 90.00 90.00
Space group P4/mbm (No. 127)
Asymmetric unit:
Hg: 0.113 0.387 0.000 (multiplicity 4)
Se: 0.247 0.747 0.500 (multiplicity 4)
I: 0.000 0.000 0.500 (multiplicity 2)

Properties
Formation energy without anion corrections   66 meV/atom

=====

# Ba2Ga6CuNi

Ba2Ga6CuNi after structural relaxation (PBE, Alexandria via LeMat-Bulk).

abc: 6.525 6.550 7.016
angles: 62.69 62.43 60.24
Space group P-1 (No. 2)
Asymmetric unit:
Ba: 0.206 0.202 0.385 (multiplicity 2)
Ga: 0.252 0.659 0.835 (multiplicity 2)
Ga: 0.253 0.253 0.835 (multiplicity 2)
Ga: 0.341 0.745 0.165 (multiplicity 2)
Cu: 0.000 0.000 0.000 (multiplicity 1)
Ni: 0.500 0.500 0.500 (multiplicity 1)

Properties
Formation energy   -0.331 eV/atom

=====

# LiTb5Ag6

LiTb5Ag6 after structural relaxation (PBE, Alexandria via LeMat-Bulk).

abc: 8.838 15.263 5.089
angles: 90.00 125.11 90.00
Space group C2/m (No. 12)
Asymmetric unit:
Li: 0.000 0.000 0.000 (multiplicity 2)
Tb: 0.000 0.166 0.500 (multiplicity 4)
Tb: 0.000 0.333 0.000 (multiplicity 4)
Tb: 0.000 0.500 0.500 (multiplicity 2)
Ag: 0.244 0.000 0.743 (multiplicity 4)
Ag: 0.245 0.164 0.245 (multiplicity 8)

Properties
Formation energy   -0.264 eV/atom

=====

# TbEu2Ag

TbEu2Ag after structural relaxation (PBE, Alexandria via LeMat-Bulk).

abc: 3.769 3.769 9.104
angles: 90.00 90.00 90.00
Space group P4/mmm (No. 123)
Asymmetric unit:
Tb: 0.000 0.000 0.000 (multiplicity 1)
Eu: 0.500 0.500 0.291 (multiplicity 2)
Ag: 0.000 0.000 0.500 (multiplicity 1)

Properties
Formation energy   -0.067 eV/atom

=====

# Tm2LuAg

Tm2LuAg after structural relaxation (PBE, Alexandria via LeMat-Bulk).

abc: 7.472 7.472 7.472
angles: 90.00 90.00 90.00
Space group Fm-3m (No. 225)
Asymmetric unit:
Tm: 0.250 0.250 0.250 (multiplicity 8)
Lu: 0.000 0.000 0.000 (multiplicity 4)
Ag: 0.000 0.000 0.500 (multiplicity 4)

Properties
Formation energy   0.045 eV/atom

=====

# HgBF4

HgBF4 after structural relaxation (PBE, Alexandria via LeMat-Bulk).

abc: 5.218 5.292 6.776
angles: 104.02 97.22 98.34
Space group P-1 (No. 2)
Asymmetric unit:
Hg: 0.194 0.087 0.422 (multiplicity 2)
B: 0.000 0.500 0.000 (multiplicity 1)
B: 0.500 0.000 0.000 (multiplicity 1)
F: 0.004 0.529 0.804 (multiplicity 2)
F: 0.271 0.725 0.088 (multiplicity 2)
F: 0.292 0.099 0.941 (multiplicity 2)
F: 0.479 0.788 0.714 (multiplicity 2)

Properties
Formation energy without anion corrections   -1835 meV/atom

=====

# RbTl2As

RbTl2As after structural relaxation (PBE, Alexandria via LeMat-Bulk).

abc: 4.6265 4.6265 23.8018
angles: 90.00 90.00 120.00
Space group R3m (No. 160, hexagonal axes)
Asymmetric unit:
Rb: 0.0000 0.0000 0.0000 (multiplicity 3)
Tl: 0.0000 0.0000 0.2233 (multiplicity 3)
Tl: 0.0000 0.0000 0.4408 (multiplicity 3)
As: 0.0000 0.0000 0.8316 (multiplicity 3)

Properties
Formation energy   -0.143 eV/atom

=====

What is the formula in the eleventh record?
HgBF4